The following is a PBE with a Hubbard U calculation of Li4CrCu3O8 after structural relaxation, from Alexandria.

The structure in POSCAR format:
```
Li4CrCu3O8
1.0
10.1988 0.0053 0.0052
8.4953 5.6428 0.0052
13.5943 4.1073 2.5182
Cr Cu O Li
1 3 8 4
Cartesian
13.5944 4.1073 2.5181
9.3471 2.8241 0.0053
28.0408 6.9340 2.5261
13.5947 5.6454 0.0079
24.5501 5.8598 1.8894
15.1922 3.0716 1.8842
12.8377 3.8786 0.6737
19.4507 5.8767 1.8550
7.7384 3.8956 0.6393
11.9920 6.6992 0.6530
17.0963 6.6837 0.6445
20.2964 3.0562 1.8757
21.2436 4.8803 1.2670
20.3919 7.6991 1.2670
16.1442 4.8777 1.2643
16.9960 2.0590 1.2643
```

Properties
- density of states at the Fermi level (states/eV per cell) = 2.57

=====

The following is a PBE with a Hubbard U calculation of Li3Cr3CuO8 after structural relaxation, from Alexandria.

The structure in POSCAR format:
```
Li3Cr3CuO8
1.0
5.9089 0.0000 0.0000
-2.9545 5.1057 -0.0269
0.0000 -3.3929 4.8635
O Li Cr Cu
8 3 3 1
Cartesian
-1.5079 2.5824 3.4625
0.0000 -0.0431 3.4684
2.9545 1.7559 1.3683
2.9545 0.0126 3.5158
4.4623 -0.8696 1.3742
0.0000 1.7001 1.3209
1.5079 2.5824 3.4625
1.4466 -0.8696 1.3742
1.4772 2.5528 -0.0134
-1.4772 2.5528 -0.0134
0.0000 0.0000 0.0000
1.4772 0.8564 2.4183
-1.4772 0.8564 2.4183
2.9545 -1.6965 2.4318
0.0000 -1.6965 2.4318
```

Properties
- density of states at the Fermi level (states/eV per cell) = 3.59

=====

The following is a PBE with a Hubbard U calculation of Li2CrCuO4 after structural relaxation, from Alexandria.

The structure in POSCAR format:
```
Li2CrCuO4
1.0
-0.4157 1.6355 2.4227
-4.9125 -1.4006 0.1025
2.7798 -3.3200 2.7181
Li O Cr Cu
2 4 1 1
Cartesian
-2.6641 0.1175 1.2626
0.0000 0.0000 0.0000
-3.4021 -0.3348 3.2402
0.8538 -2.7503 2.0031
-0.6964 -0.4428 1.9784
-1.8520 -2.6423 3.2649
-3.7304 -2.2428 2.6729
-1.0664 -2.3603 1.4103
```

Properties
- relative energy among the computed polymorphs (meV/atom) = 0
- density of states at the Fermi level (states/eV per cell) = 1.28

=====

The following is a PBE with a Hubbard U calculation of Li2CrCuO4 after structural relaxation, from Alexandria.

The structure in POSCAR format:
```
Li2CrCuO4
1.0
-0.8287 -3.9986 0.1878
3.1024 -0.5203 2.6105
-3.7595 2.9559 1.8564
Cr Cu O Li
1 1 4 2
Cartesian
0.0000 0.0000 0.0000
-1.7256 -1.6511 1.7217
-2.9365 -1.3295 3.2248
-0.5148 -1.9726 0.2186
-1.2317 0.3271 1.5289
-0.2541 -1.8901 3.1258
1.1369 -2.2594 1.3992
0.2399 0.0881 2.9330
```

Properties
- relative energy among the computed polymorphs (meV/atom) = 17
- density of states at the Fermi level (states/eV per cell) = 3.14

=====

The following is a PBE with a Hubbard U calculation of Li5Cr2Cu5O12 after structural relaxation, from Alexandria.

The structure in POSCAR format:
```
Li5Cr2Cu5O12
1.0
-3.9910 3.1309 -0.3763
-2.8553 -0.2214 -4.2036
-5.4698 -7.2511 3.5700
Li O Cu Cr
5 12 5 2
Cartesian
-5.3930 -3.2406 -0.9537
-9.0895 -6.4133 -0.1597
-8.5285 -5.2066 2.4843
-7.0639 -1.0853 0.1972
-10.3302 -2.7916 -1.4888
-9.2384 -3.4254 1.6897
-7.4013 -5.5851 0.7407
-6.3708 -2.9255 0.8898
-3.1199 -0.9062 -2.7294
-5.2173 -0.3384 0.7666
-8.8011 -1.8739 -0.4396
-7.1380 -3.9785 -1.8014
-2.6612 0.2966 -0.0313
-3.5233 -2.4561 -0.4914
-4.9553 1.2802 -1.6385
-5.8815 -1.4626 -1.9964
-9.5979 -4.6704 -1.0251
-7.6200 -2.2632 -2.5751
-8.1049 -3.7373 -0.0001
-4.2088 -0.6052 -1.0083
-1.9670 -1.5580 0.4914
-10.8798 -4.2383 1.0430
-5.8176 -4.7094 1.5300
-6.5108 0.3731 -2.5483
```

Properties
- density of states at the Fermi level (states/eV per cell) = 9.30

=====

The following is a PBE with a Hubbard U calculation of Li2CrCuO4 after structural relaxation, from Alexandria.

The structure in POSCAR format:
```
Li2CrCuO4
1.0
-1.9542 4.4240 3.3790
-5.2403 -2.6654 0.4939
4.9385 -2.8885 1.4730
Cu Cr O Li
2 2 8 4
Cartesian
2.4693 -1.4443 0.7365
0.0000 0.0000 0.0000
-2.6201 -1.3327 0.2469
1.4922 0.7678 2.4260
-2.0413 -2.3241 1.9158
0.7242 -0.9402 1.6515
3.1481 -2.4824 2.3482
-5.4041 1.3525 2.9977
-0.2146 1.1942 3.4301
2.1005 -0.1600 4.1208
-4.3564 -0.9699 1.2251
-2.9802 -0.1897 3.6944
-1.1280 -0.5649 2.6729
-3.5972 0.8793 1.9364
-0.9771 2.2120 1.6895
-0.1509 -2.7770 0.9835
```

Properties
- relative energy among the computed polymorphs (meV/atom) = 24
- density of states at the Fermi level (states/eV per cell) = 4.31

=====

The following is a PBE with a Hubbard U calculation of Li2CrCuP2O8 after structural relaxation, from Alexandria.

The structure in POSCAR format:
```
Li2CrCuP2O8
1.0
6.1088 0.0000 0.0000
0.0000 4.7566 0.0006
0.0000 0.0044 10.2028
O Li P Cr Cu
16 4 4 2 2
Cartesian
4.5816 3.3622 0.5219
3.3210 3.3825 8.5786
4.5816 1.2244 9.2693
4.5816 1.1300 3.9921
0.2666 1.3786 1.6249
1.5272 3.6311 6.2114
2.7445 1.1025 6.8423
0.3099 1.1025 6.8423
1.5272 1.3989 9.6816
3.3642 3.6586 3.3612
2.7878 1.3786 1.6249
5.7989 3.6586 3.3612
1.5272 3.5367 0.9342
4.5816 3.8365 5.5503
5.8421 3.3825 8.5786
1.5272 0.9246 4.6531
0.0000 2.3805 5.1017
3.0544 0.0000 0.0000
0.0000 0.0000 0.0000
3.0544 2.3805 5.1017
4.5816 4.3437 4.0906
1.5272 2.0036 0.9350
1.5272 0.4174 6.1129
4.5816 2.7575 9.2685
1.5272 2.4868 7.9798
4.5816 2.2743 2.2237
1.5272 4.5438 2.9062
4.5816 0.2173 7.2973
```

Properties
- density of states at the Fermi level (states/eV per cell) = 4.62

=====

The following is a PBE with a Hubbard U calculation of Li4Cr3CuP4O16 after structural relaxation, from Alexandria.

The structure in POSCAR format:
```
Li4Cr3CuP4O16
1.0
6.2439 0.0000 0.0000
0.0000 4.7737 -0.0060
0.0000 -0.0062 10.2033
Cr O P Cu Li
3 16 4 1 4
Cartesian
0.0000 4.5347 2.8766
3.1220 2.1792 2.1995
0.0000 2.5619 7.9752
1.2433 1.3168 1.6319
3.1220 1.2270 9.2129
5.0110 1.0874 6.7703
0.0000 3.6449 6.1707
4.3619 3.7146 3.4377
1.2329 1.0874 6.7703
3.1220 1.1368 4.0489
3.1220 3.8408 5.6025
0.0000 0.9042 4.5967
3.1220 3.3395 0.5061
1.8588 3.3957 8.5646
5.0006 1.3168 1.6319
4.3852 3.3957 8.5646
0.0000 3.5059 1.0275
1.8820 3.7146 3.4377
0.0000 1.4286 9.6747
3.1220 2.7725 9.2412
0.0000 1.9647 0.9433
0.0000 0.4169 6.0778
3.1220 4.3646 4.1423
3.1220 0.2673 7.2899
4.6350 2.3958 5.1605
4.6346 0.0274 10.1278
1.6093 0.0274 10.1278
1.6090 2.3958 5.1605
```

Properties
- density of states at the Fermi level (states/eV per cell) = 7.27

=====

Calculated size of the total moment, 0.19; 0.53; 0.13; 0.33; 0.01; 0.60; 0.21; 0.42 μB per atom (same order as the records).
Calculated total energy, -0.202; -0.239; -0.219; -0.218; -0.206; -0.218; -0.247; -0.254 Ha/atom (same order as the records).